Computed, not measured: crystalline NaPa2MnO8 at its relaxed geometry at the PBE+U level of DFT.

Cell and atoms, written as POSCAR:
```
NaPa2MnO8
1.0
6.1715 0.0000 0.0000
-3.0857 5.3447 0.0000
0.0000 0.0000 6.0727
O Pa Na Mn
8 2 1 1
direct
0.6667 0.3333 0.0884 O
0.2895 0.1449 0.6864 O
0.8551 0.1446 0.6864 O
0.7105 0.8551 0.3136 O
0.8554 0.7105 0.6864 O
0.3333 0.6667 0.9116 O
0.1446 0.2895 0.3136 O
0.1449 0.8554 0.3136 O
0.6667 0.3333 0.7675 Pa
0.3333 0.6667 0.2325 Pa
0.0000 0.0000 0.0000 Na
0.0000 0.0000 0.5000 Mn
```

Summary:
total energy: -7.879 eV/atom
magnetic moment: 2.45 μB/f.u.
crystal system: trigonal
symmetry: P-3m1, No. 164